Entry 1:
# BaSc2TlO | the Alexandria database | PBE-GGA | relaxed
data_BaSc2TlO
_cell_length_a 4.559
_cell_length_b 4.559
_cell_length_c 6.304
_cell_angle_alpha 90.00
_cell_angle_beta 90.00
_cell_angle_gamma 90.00
_symmetry_space_group_name_H-M 'P 4/m m m'
_symmetry_Int_Tables_number 123
_symmetry_space_group_name_Hall '-P 4 2'
loop_
_atom_site_label
_atom_site_type_symbol
_atom_site_fract_x
_atom_site_fract_y
_atom_site_fract_z
Ba1 Ba 0.000 0.000 0.000
Sc1 Sc 0.000 0.500 0.500
Tl1 Tl 0.500 0.500 0.000
O1 O 0.500 0.500 0.500
# Mass density (g/cm3): 5.67
# Calculated volume (Å³/cell): 131.0
# Uncorrected formation energy (kJ/mol of atoms): -69.1


Entry 2:
# Ce5Sb2O | the Alexandria database | PBE-GGA | relaxed
data_Ce5Sb2O
_cell_length_a 6.978
_cell_length_b 6.978
_cell_length_c 8.513
_cell_angle_alpha 90.00
_cell_angle_beta 90.00
_cell_angle_gamma 90.00
_symmetry_space_group_name_H-M 'I 4 m m'
_symmetry_Int_Tables_number 107
_symmetry_space_group_name_Hall 'I 4 -2'
loop_
_atom_site_label
_atom_site_type_symbol
_atom_site_fract_x
_atom_site_fract_y
_atom_site_fract_z
Ce1 Ce 0.000 0.000 0.000
Ce2 Ce 0.246 0.246 0.660
Sb1 Sb 0.000 0.500 0.414
O1 O 0.000 0.000 0.708
# Mass density (g/cm3): 7.69
# Calculated volume (Å³/cell): 414.5
# Uncorrected formation energy (kJ/mol of atoms): -107.5


Entry 3:
# YCr2Br | the Alexandria database | PBE-GGA | relaxed
data_YCr2Br
_cell_length_a 4.367
_cell_length_b 4.367
_cell_length_c 9.583
_cell_angle_alpha 90.00
_cell_angle_beta 90.00
_cell_angle_gamma 90.00
_symmetry_space_group_name_H-M 'I -4 m 2'
_symmetry_Int_Tables_number 119
_symmetry_space_group_name_Hall 'I -4 -2'
loop_
_atom_site_label
_atom_site_type_symbol
_atom_site_fract_x
_atom_site_fract_y
_atom_site_fract_z
Y1 Y 0.000 0.000 0.000
Cr1 Cr 0.000 0.000 0.500
Cr2 Cr 0.000 0.500 0.250
Br1 Br 0.000 0.500 0.750
# Mass density (g/cm3): 4.96
# Calculated volume (Å³/cell): 182.8
# Uncorrected formation energy (kJ/mol of atoms): 58.1


Entry 4:
# PmEr3Ir | the Alexandria database | PBE-GGA | relaxed
data_PmEr3Ir
_cell_length_a 7.577
_cell_length_b 6.533
_cell_length_c 6.179
_cell_angle_alpha 90.00
_cell_angle_beta 90.00
_cell_angle_gamma 90.00
_symmetry_space_group_name_H-M 'P m n 21'
_symmetry_Int_Tables_number 31
loop_
_symmetry_equiv_pos_as_xyz
'x,y,z'
'-x+1/2,-y,z+1/2'
'-x,y,z'
'x+1/2,-y,z+1/2'
loop_
_atom_site_label
_atom_site_type_symbol
_atom_site_fract_x
_atom_site_fract_y
_atom_site_fract_z
Pm1 Pm 0.000 0.147 0.000
Er1 Er 0.000 0.846 0.491
Er2 Er 0.249 0.317 0.497
Ir1 Ir 0.000 0.507 0.744
# ΔE_f (eV per atom): -0.35
# Mass density (g/cm3): 9.11
# Calculated volume (Å³/cell): 305.8


Entry 5:
# Co2HAu | the Alexandria database | PBE-GGA | relaxed
data_Co2HAu
_cell_length_a 2.7543
_cell_length_b 2.7543
_cell_length_c 19.3628
_cell_angle_alpha 90.00
_cell_angle_beta 90.00
_cell_angle_gamma 120.00
_symmetry_space_group_name_H-M 'R -3 m'
_symmetry_Int_Tables_number 166
_symmetry_space_group_name_Hall '-R 3 2"'
loop_
_atom_site_label
_atom_site_type_symbol
_atom_site_fract_x
_atom_site_fract_y
_atom_site_fract_z
Co1 Co 0.0000 0.0000 0.2163
H1 H 0.0000 0.0000 0.5000
Au1 Au 0.0000 0.0000 0.0000
# Mass density (g/cm3): 12.37
# Calculated volume (Å³/cell): 127.2


Entry 6:
# TbSm8In6 | the Alexandria database | PBE-GGA | relaxed
data_TbSm8In6
_cell_length_a 9.1637
_cell_length_b 9.1637
_cell_length_c 19.7665
_cell_angle_alpha 90.00
_cell_angle_beta 90.00
_cell_angle_gamma 120.00
_symmetry_space_group_name_H-M 'R -3'
_symmetry_Int_Tables_number 148
_symmetry_space_group_name_Hall '-R 3'
loop_
_atom_site_label
_atom_site_type_symbol
_atom_site_fract_x
_atom_site_fract_y
_atom_site_fract_z
Tb1 Tb 0.0000 0.0000 0.0000
Sm1 Sm 0.0000 0.0000 0.3339
Sm2 Sm 0.0003 0.3341 0.8854
In1 In 0.9998 0.3303 0.0557
# ΔE_f (eV per atom): -0.23
# Mass density (g/cm3): 7.11
# Calculated volume (Å³/cell): 1437.5


Entry 7:
# Ba2LiIn4Au3 | the Alexandria database | PBE-GGA | relaxed
data_Ba2LiIn4Au3
_cell_length_a 4.870
_cell_length_b 4.870
_cell_length_c 11.429
_cell_angle_alpha 90.00
_cell_angle_beta 90.00
_cell_angle_gamma 90.00
_symmetry_space_group_name_H-M 'P -4 m 2'
_symmetry_Int_Tables_number 115
loop_
_symmetry_equiv_pos_as_xyz
'x,y,z'
'y,-x,-z'
'-x,-y,z'
'-y,x,-z'
'-x,y,z'
'-y,-x,-z'
'x,-y,z'
'y,x,-z'
loop_
_atom_site_label
_atom_site_type_symbol
_atom_site_fract_x
_atom_site_fract_y
_atom_site_fract_z
Ba1 Ba 0.000 0.500 0.249
Li1 Li 0.500 0.500 0.000
In1 In 0.000 0.000 0.500
In2 In 0.000 0.500 0.879
In3 In 0.500 0.500 0.500
Au1 Au 0.000 0.000 0.000
Au2 Au 0.000 0.500 0.634
# ΔE_f (eV per atom): -0.50
# Mass density (g/cm3): 8.16
# Calculated volume (Å³/cell): 271.1


Entry 8:
# LiCa4Pu3N8 | the Alexandria database | PBE-GGA | relaxed
data_LiCa4Pu3N8
_cell_length_a 6.8739
_cell_length_b 6.8739
_cell_length_c 16.8330
_cell_angle_alpha 90.00
_cell_angle_beta 90.00
_cell_angle_gamma 120.00
_symmetry_space_group_name_H-M 'R -3 m'
_symmetry_Int_Tables_number 166
_symmetry_space_group_name_Hall '-R 3 2"'
loop_
_atom_site_label
_atom_site_type_symbol
_atom_site_fract_x
_atom_site_fract_y
_atom_site_fract_z
Li1 Li 0.0000 0.0000 0.0000
Ca1 Ca 0.0000 0.0000 0.5000
Ca2 Ca 0.0000 0.5000 0.5000
Pu1 Pu 0.0000 0.5000 0.0000
N1 N 0.0000 0.0000 0.2581
N2 N 0.0281 0.5141 0.2629
# Mass density (g/cm3): 7.31
# Calculated volume (Å³/cell): 688.8
# Uncorrected formation energy (kJ/mol of atoms): -100.0


Number 1: E -5.098 eV per atom. Number 2: E -6.473 eV per atom. Number 3: E -6.244 eV per atom. Number 4: E -5.811 eV per atom. Number 5: E -5.067 eV per atom. Number 6: E -4.155 eV per atom. Number 7: E -3.154 eV per atom. Number 8: E -8.506 eV per atom.